Entry from Alexandria via LeMat-Bulk: a relaxed structure of SrCa3Ni (GGA-PBE).

Output
E above lowest polymorph ... 18 meV/atom
Energy of formation from the pure elements ... -0.04 eV per atom
Symmetry ... No. 2

POSCAR file:
```
SrCa3Ni
1.0
7.733 0.033 0.111
-1.582 7.922 -0.011
-0.600 4.231 5.963
Ca Sr Ni
6 2 2
Direct
0.925 0.615 0.762 Ca
0.013 0.547 0.324 Ca
0.410 0.620 0.870 Ca
0.498 0.551 0.433 Ca
0.308 0.037 0.917 Ca
0.115 0.130 0.278 Ca
0.598 0.112 0.324 Sr
0.825 0.055 0.870 Sr
0.258 0.766 0.444 Ni
0.165 0.401 0.750 Ni
```